# 1
This record from the Alexandria database describes a geometry-optimized TaNiAg2Rh structure. The functional is GGA-PBE.

Summary:
* space group: P4/mmm
* calculated density: 9.75 g/cm3
* formation enthalpy at 0 K: 102 kJ per mole of atoms
* N(E_F): 5.263 states/eV per cell
* electronic total energy: -5.0830 eV per atom

Lattice parameters (Å, degrees): 4.6267 4.4434 4.6267 90.00 90.00 90.00
Last column: nearest neighbours and their distance in Å.
Positions (direct):
1 Ag 0.5000 0.0000 0.0000  2 Ni 2.31
2 Ag 0.0000 0.0000 0.5000  2 Ni 2.31
3 Ta 0.0000 0.5000 0.0000  2 Ni 2.22
4 Ni 0.0000 0.0000 0.0000  2 Ta 2.22, 4 Ag 2.31
5 Rh 0.5000 0.5000 0.5000  8 Ag 3.21, 4 Ta 3.27

# 2
This record from the Alexandria database describes a geometry-optimized Ti2NiAgRh structure. The functional is GGA-PBE.

Summary:
* space group: P4/mmm
* calculated density: 6.14 g/cm3
* formation enthalpy at 0 K: 51 kJ per mole of atoms
* N(E_F): 5.205 states/eV per cell
* electronic total energy: -5.8310 eV per atom

Lattice parameters (Å, degrees): 4.6068 4.6545 4.6068 90.00 90.00 90.00
Last column: nearest neighbours and their distance in Å.
Positions (direct):
1 Ag 0.5000 0.5000 0.5000  4 Ni 3.26, 8 Ti 3.27
2 Rh 0.0000 0.0000 0.0000  4 Ti 2.30, 2 Ni 2.33
3 Ti 0.0000 0.0000 0.5000  2 Rh 2.30
4 Ni 0.0000 0.5000 0.0000  2 Rh 2.33
5 Ti 0.5000 0.0000 0.0000  2 Rh 2.30

# 3
This record from the Alexandria database describes a geometry-optimized TlNiAgRh2 structure. The functional is GGA-PBE.

Summary:
* space group: P4/mmm
* calculated density: 8.67 g/cm3
* formation enthalpy at 0 K: 129 kJ per mole of atoms
* N(E_F): 7.800 states/eV per cell
* electronic total energy: -3.8032 eV per atom

Lattice parameters (Å, degrees): 4.9037 4.5928 4.9037 90.00 90.00 90.00
Last column: nearest neighbours and their distance in Å.
Positions (direct):
1 Rh 0.0000 0.0000 0.5000  2 Ag 2.45
2 Ni 0.0000 0.5000 0.0000  2 Ag 2.30
3 Ag 0.0000 0.0000 0.0000  2 Ni 2.30, 4 Rh 2.45
4 Rh 0.5000 0.0000 0.0000  2 Ag 2.45
5 Tl 0.5000 0.5000 0.5000  8 Rh 3.36, 4 Ni 3.47